(1)
SmErAu, relaxed, DFT PBE-GGA; calculated volume = 319.1 Å³ per cell; polymorph energy (0 for the lowest one) = 0.0000 eV/atom; calculated density = 10.71 Mg/m³; SG = No. 62; energy of formation = -0.63 eV per atom
1.0
7.196 0.000 0.000
0.000 4.966 0.000
0.000 0.000 8.930
Sm Er Au
4 4 4
Direct
0.013 0.250 0.177
0.487 0.750 0.677
0.513 0.250 0.323
0.987 0.750 0.823
0.148 0.250 0.581
0.352 0.750 0.081
0.648 0.250 0.919
0.852 0.750 0.419
0.249 0.750 0.401
0.251 0.250 0.901
0.749 0.750 0.099
0.751 0.250 0.599

=====

(2)
SmErAu6, relaxed, DFT PBE-GGA; calculated volume = 161.9 Å³ per cell; calculated density = 15.38 Mg/m³; SG = No. 25; energy of formation = -0.71 eV per atom
1.0
5.039 0.000 0.000
0.000 6.235 0.000
0.000 0.000 5.154
Sm Er Au
1 1 6
Direct
0.000 0.000 0.000
0.500 0.500 0.687
0.000 0.263 0.505
0.000 0.500 0.006
0.000 0.737 0.505
0.500 0.000 0.666
0.500 0.251 0.180
0.500 0.749 0.180